Computed, not measured: an optimized crystal structure of La2RuAuSe at the PBE-GGA level of DFT.

Computed properties:
E: -5.719 eV per atom
Size of the total moment: 0.00 μB/f.u.
Energy relative to the elements, uncorrected: -0.540 eV per atom

abc: 5.4360 5.4360 4.7656
angles: 90.00 90.00 90.00
Space group P4/mmm (No. 123)
One atom of each set of equivalent atoms:
La  0.0000  0.5000  0.0000 [2 per cell]
Ru  0.0000  0.0000  0.0000 [1 per cell]
Au  0.5000  0.5000  0.5000 [1 per cell]
Se  0.0000  0.0000  0.5000 [1 per cell]